DFT (SCAN) results for a PBEsol-optimized structure of OsPtSe.

abc: 4.111 4.111 4.111
angles: 60.00 60.00 60.00
Element x y z (fractional)
1 Os 0.000 0.000 0.000
2 Pt 0.500 0.500 0.500
3 Se 0.250 0.250 0.250

**Raw total energy**: -160.22 eV for the cell shown
**Total moment**: 0.0 μB per formula unit
**ρ**: 15.7 g/cm3
**ΔE_f (raw)**: 0.64 eV per atom
**Crystal system**: cubic
**Space group**: F-43m